Entry 1:
Dy5Er2Ir4 GGA-PBE relaxed; ΔE_f = -589 meV per atom
1.0
12.801 -2.056 0.000
12.801 2.056 0.000
-0.507 0.000 5.466
Dy Er Ir
5 2 4
direct
0.000 0.000 0.000
0.153 0.153 0.085
0.296 0.296 0.386
0.704 0.704 0.614
0.847 0.847 0.915
0.433 0.433 0.471
0.567 0.567 0.529
0.263 0.263 0.851
0.422 0.422 0.967
0.578 0.578 0.033
0.737 0.737 0.149

Entry 2:
DyErIr2 GGA-PBE relaxed; energy above the lowest structure with this stoichiometry = 6 meV/atom; ΔE_f = -846 meV per atom
1.0
4.901 0.000 0.000
0.000 3.305 0.000
0.000 0.000 9.802
Dy Er Ir
2 2 4
direct
0.250 0.000 0.126
0.750 0.000 0.874
0.250 0.000 0.624
0.750 0.000 0.376
0.250 0.500 0.377
0.250 0.500 0.873
0.750 0.500 0.127
0.750 0.500 0.623

Entry 3:
DyEr8Ir6 GGA-PBE relaxed; ΔE_f = -832 meV per atom
1.0
4.110 2.373 5.944
-4.110 2.373 5.944
0.000 -4.746 5.944
Dy Er Ir
1 8 6
direct
0.000 0.000 0.000
0.112 0.778 0.447
0.222 0.553 0.888
0.334 0.334 0.334
0.447 0.112 0.778
0.553 0.888 0.222
0.666 0.666 0.666
0.778 0.447 0.112
0.888 0.222 0.553
0.057 0.391 0.723
0.277 0.943 0.609
0.391 0.723 0.057
0.609 0.277 0.943
0.723 0.057 0.391
0.943 0.609 0.277

Entry 4:
DyErIr2 GGA-PBE relaxed; energy above the lowest structure with this stoichiometry = 0 meV/atom; ΔE_f = -852 meV per atom
1.0
4.712 0.000 0.000
0.000 4.712 0.000
0.000 0.000 3.569
Dy Er Ir
1 1 2
direct
0.000 0.000 0.000
0.500 0.500 0.000
0.000 0.500 0.500
0.500 0.000 0.500